VASP calculation (PBE) on an optimized crystal structure of SmNpO4.

The space group is Cmmm (No. 65) and the conventional cell measures 7.130, 7.364 and 3.573 Å, with angles of 90.00, 90.00 and 90.00 degrees. The distinct sites, in fractional coordinates, are Sm at (0.000, 0.000, 0.000), Np at (0.000, 0.500, 0.500), O at (0.000, 0.320, 0.000) and O at (0.210, 0.000, 0.500).

Its formation energy (no corrections) is -19.1 eV/f.u.